Density functional theory data (GGA-PBE) for Li2Zn3Ag6 after structural relaxation.

Symmetry: R-3m
Total energy, eV for the cell shown: -26.0
Energy of formation from the pure elements, eV per atom: -0.115
Crystal system: trigonal

Cell: 4.4623 4.4623 10.6435 Å, 77.90 77.90 60.00°
With the nearest neighbours (Å) after each atom.
Positions (direct):
Li: 0.5460 0.5460 0.3621  7 Ag 2.71-2.81, 1 Li 2.85
Li: 0.4540 0.4540 0.6379  7 Ag 2.71-2.81, 1 Li 2.85
Zn: 0.0000 0.0000 0.0000  8 Ag 2.74-2.82
Zn: 0.7275 0.7275 0.8176  8 Ag 2.69-2.81
Zn: 0.2725 0.2725 0.1824  8 Ag 2.69-2.81
Ag: 0.9089 0.9089 0.2732  3 Li 2.74, 4 Zn 2.74-2.82, 1 Ag 2.94
Ag: 0.0911 0.0911 0.7268  3 Li 2.74, 4 Zn 2.74-2.82, 1 Ag 2.94
Ag: 0.8142 0.8142 0.5575  1 Zn 2.69, 3 Li 2.71, 4 Ag 2.84-2.94
Ag: 0.1858 0.1858 0.4425  1 Zn 2.69, 3 Li 2.71, 4 Ag 2.84-2.94
Ag: 0.6367 0.6367 0.0899  7 Zn 2.74-2.81, 1 Li 2.81
Ag: 0.3633 0.3633 0.9101  7 Zn 2.74-2.81, 1 Li 2.81

=====

Density functional theory data (GGA-PBE) for Li4ZnAg7 after structural relaxation.

Symmetry: C2/m
Total energy, eV for the cell shown: -29.3
Energy of formation from the pure elements, eV per atom: -0.032
Crystal system: monoclinic
Relative energy among the computed polymorphs, eV per atom: 0.127

Cell: 4.9611 9.1281 5.6783 Å, 81.78 64.10 74.23°
With the nearest neighbours (Å) after each atom.
Positions (direct):
Li: 0.6058 0.2238 0.5647  8 Ag 2.72-2.93
Li: 0.3942 0.7762 0.4353  8 Ag 2.72-2.93
Li: 0.7263 0.6924 0.8549  7 Ag 2.67-2.92
Li: 0.2737 0.3076 0.1451  7 Ag 2.67-2.92
Zn: 0.0000 0.0000 0.0000  4 Ag 2.48-2.55
Ag: 0.7992 0.9187 0.4828  1 Zn 2.55, 4 Li 2.71-2.79, 2 Ag 2.76-2.79
Ag: 0.2008 0.0813 0.5172  1 Zn 2.55, 4 Li 2.71-2.79, 2 Ag 2.76-2.79
Ag: 0.0389 0.6225 0.2997  5 Ag 2.79-2.93, 4 Li 2.90-2.92
Ag: 0.9611 0.3775 0.7003  5 Ag 2.79-2.93, 4 Li 2.90-2.92
Ag: 0.3487 0.5285 0.7740  5 Li 2.67-2.91, 4 Ag 2.83-2.86
Ag: 0.5000 0.0000 0.0000  2 Zn 2.48, 2 Ag 2.76
Ag: 0.6513 0.4715 0.2260  5 Li 2.67-2.91, 4 Ag 2.83-2.86

=====

Density functional theory data (GGA-PBE) for Li6Zn7Ag16 after structural relaxation.

Symmetry: Fm-3m
Total energy, eV for the cell shown: -68.8
Energy of formation from the pure elements, eV per atom: -0.096
Crystal system: cubic

Cell: 9.0464 9.0464 9.0464 Å, 60.00 60.00 60.00°
With the nearest neighbours (Å) after each atom.
Positions (direct):
Li: 0.2192 0.7808 0.2192  8 Ag 2.98-2.99, 4 Zn 3.22
Li: 0.7808 0.2192 0.7808  8 Ag 2.98-2.99, 4 Zn 3.22
Li: 0.2192 0.7808 0.7808  8 Ag 2.98-2.99, 4 Zn 3.22
Li: 0.7808 0.2192 0.2192  8 Ag 2.98-2.99, 4 Zn 3.22
Li: 0.2192 0.2192 0.7808  8 Ag 2.98-2.99, 4 Zn 3.22
Li: 0.7808 0.7808 0.2192  8 Ag 2.98-2.99, 4 Zn 3.22
Zn: 0.5000 0.5000 0.5000  8 Ag 2.63
Zn: 0.5000 0.0000 0.5000  8 Ag 2.62-2.82
Zn: 0.0000 0.5000 0.0000  8 Ag 2.62-2.82
Zn: 0.5000 0.0000 0.0000  8 Ag 2.62-2.82
Zn: 0.0000 0.5000 0.5000  8 Ag 2.62-2.82
Zn: 0.5000 0.5000 0.0000  8 Ag 2.62-2.82
Zn: 0.0000 0.0000 0.5000  8 Ag 2.62-2.82
Ag: 0.4765 0.8412 0.8412  3 Zn 2.62
Ag: 0.8412 0.4765 0.8412  3 Zn 2.62
Ag: 0.8412 0.8412 0.8412  3 Zn 2.62
Ag: 0.8412 0.8412 0.4765  3 Zn 2.62
Ag: 0.1588 0.5235 0.1588  3 Zn 2.62
Ag: 0.5235 0.1588 0.1588  3 Zn 2.62
Ag: 0.1588 0.1588 0.1588  3 Zn 2.62
Ag: 0.1588 0.1588 0.5235  3 Zn 2.62
Ag: 0.1436 0.6188 0.6188  4 Zn 2.63-2.82, 3 Ag 2.94
Ag: 0.6188 0.1436 0.6188  4 Zn 2.63-2.82, 3 Ag 2.94
Ag: 0.6188 0.6188 0.6188  4 Zn 2.63-2.82, 3 Ag 2.94
Ag: 0.6188 0.6188 0.1436  4 Zn 2.63-2.82, 3 Ag 2.94
Ag: 0.3812 0.8564 0.3812  4 Zn 2.63-2.82, 3 Ag 2.94
Ag: 0.8564 0.3812 0.3812  4 Zn 2.63-2.82, 3 Ag 2.94
Ag: 0.3812 0.3812 0.3812  4 Zn 2.63-2.82, 3 Ag 2.94
Ag: 0.3812 0.3812 0.8564  4 Zn 2.63-2.82, 3 Ag 2.94

=====

Density functional theory data (GGA-PBE) for LiZn2Ag8 after structural relaxation.

Symmetry: C2/m
Total energy, eV for the cell shown: -27.9
Energy of formation from the pure elements, eV per atom: -0.056
Crystal system: monoclinic
Relative energy among the computed polymorphs, eV per atom: 0.000

Cell: 4.2417 6.6231 7.3706 Å, 108.53 106.72 90.00°
With the nearest neighbours (Å) after each atom.
Positions (direct):
Li: 0.5000 0.0000 0.0000  12 Ag 2.75-2.99
Zn: 0.2252 0.6433 0.4504  10 Ag 2.73-3.02
Zn: 0.7748 0.3567 0.5496  10 Ag 2.73-3.02
Ag: 0.5970 0.4588 0.1940  3 Zn 2.79-2.81, 1 Li 2.89, 8 Ag 2.91-3.01
Ag: 0.3198 0.0758 0.6396  3 Zn 2.73-3.02, 1 Li 2.75, 8 Ag 2.84-2.96
Ag: 0.1412 0.1988 0.2824  3 Zn 2.78-2.80, 7 Ag 2.85-2.96, 2 Li 2.91
Ag: 0.0474 0.7306 0.0948  1 Zn 2.76, 9 Ag 2.84-3.01, 2 Li 2.99
Ag: 0.8588 0.8012 0.7176  3 Zn 2.78-2.80, 7 Ag 2.85-2.96, 2 Li 2.91
Ag: 0.6802 0.9242 0.3604  3 Zn 2.73-3.02, 1 Li 2.75, 8 Ag 2.84-2.96
Ag: 0.4030 0.5412 0.8060  3 Zn 2.79-2.81, 1 Li 2.89, 8 Ag 2.91-3.01
Ag: 0.9526 0.2694 0.9052  1 Zn 2.76, 9 Ag 2.84-3.01, 2 Li 2.99

=====

Density functional theory data (GGA-PBE) for Li2ZnAg after structural relaxation.

Symmetry: P4mm
Total energy, eV for the cell shown: -8.5
Energy of formation from the pure elements, eV per atom: -0.135
Crystal system: tetragonal

Cell: 3.3071 3.3071 5.9001 Å, 90.00 90.00 90.00°
With the nearest neighbours (Å) after each atom.
Positions (direct):
Zn: 0.0000 0.0000 0.4989  6 Li 2.73-3.00, 4 Ag 2.76
Ag: 0.5000 0.5000 0.7488  6 Li 2.74-3.03, 4 Zn 2.76
Li: 0.0000 0.0000 0.9906  4 Ag 2.74, 4 Li 2.83, 2 Zn 2.90-3.00
Li: 0.5000 0.5000 0.2618  4 Zn 2.73, 4 Li 2.83, 2 Ag 2.87-3.03

=====

Density functional theory data (GGA-PBE) for Li3Zn5Ag4 after structural relaxation.

Symmetry: C2/m
Total energy, eV for the cell shown: -23.7
Energy of formation from the pure elements, eV per atom: -0.018
Crystal system: monoclinic

Cell: 4.6788 6.7710 7.3990 Å, 103.28 71.57 69.79°
With the nearest neighbours (Å) after each atom.
Positions (direct):
Li: 0.5141 0.7165 0.2554  5 Zn 2.56-2.69, 4 Ag 2.65-2.78
Li: 0.0000 0.5000 0.5000  6 Zn 2.34-2.61
Li: 0.4859 0.2835 0.7446  5 Zn 2.56-2.69, 4 Ag 2.65-2.78
Zn: 0.6510 0.9045 0.7935  2 Li 2.56-2.61, 2 Zn 2.68-2.76, 4 Ag 2.77-2.82
Zn: 0.5000 0.5000 0.5000  4 Li 2.34-2.58
Zn: 0.1843 0.4947 0.1367  4 Li 2.54-2.69, 4 Ag 2.69-2.84, 1 Zn 2.76
Zn: 0.8157 0.5053 0.8633  4 Li 2.54-2.69, 4 Ag 2.69-2.84, 1 Zn 2.76
Zn: 0.3490 0.0955 0.2065  2 Li 2.56-2.61, 2 Zn 2.68-2.76, 4 Ag 2.77-2.82
Ag: 0.8304 0.2476 0.0916  6 Zn 2.69-2.77, 1 Li 2.75, 2 Ag 2.91-2.96
Ag: 0.1679 0.0282 0.6360  3 Li 2.65-2.78, 3 Zn 2.82-2.84, 3 Ag 2.95-2.96
Ag: 0.8321 0.9718 0.3640  3 Li 2.65-2.78, 3 Zn 2.82-2.84, 3 Ag 2.95-2.96
Ag: 0.1696 0.7524 0.9084  6 Zn 2.69-2.77, 1 Li 2.75, 2 Ag 2.91-2.96

=====

Density functional theory data (GGA-PBE) for Li2Zn4Ag3 after structural relaxation.

Symmetry: C2/m
Total energy, eV for the cell shown: -18.9
Energy of formation from the pure elements, eV per atom: -0.158
Crystal system: monoclinic
Relative energy among the computed polymorphs, eV per atom: 0.000

Cell: 4.0032 4.8748 8.2768 Å, 73.79 76.01 65.76°
With the nearest neighbours (Å) after each atom.
Positions (direct):
Li: 0.3378 0.1031 0.2213  5 Ag 2.74-2.88, 7 Zn 2.75-2.87
Li: 0.6622 0.8969 0.7787  5 Ag 2.74-2.88, 7 Zn 2.75-2.87
Zn: 0.6666 0.5601 0.1068  4 Ag 2.72-2.81, 4 Li 2.75-2.87, 4 Zn 2.76-2.82
Zn: 0.0006 0.3332 0.6656  6 Ag 2.75-2.86, 3 Zn 2.77-2.82, 3 Li 2.81-2.83
Zn: 0.9994 0.6668 0.3344  6 Ag 2.75-2.86, 3 Zn 2.77-2.82, 3 Li 2.81-2.83
Zn: 0.3334 0.4399 0.8932  4 Ag 2.72-2.81, 4 Li 2.75-2.87, 4 Zn 2.76-2.82
Ag: 0.3285 0.7739 0.5692  6 Zn 2.72-2.86, 3 Li 2.74-2.88, 3 Ag 2.87-2.89
Ag: 0.0000 0.0000 0.0000  4 Li 2.78, 8 Zn 2.79-2.81
Ag: 0.6715 0.2261 0.4308  6 Zn 2.72-2.86, 3 Li 2.74-2.88, 3 Ag 2.87-2.89

=====

Density functional theory data (GGA-PBE) for Li7Zn3Ag after structural relaxation.

Symmetry: Cmcm
Total energy, eV for the cell shown: -42.4
Energy of formation from the pure elements, eV per atom: -0.104
Crystal system: orthorhombic
Relative energy among the computed polymorphs, eV per atom: 0.000

Cell: 2.8716 11.6434 11.3283 Å, 90.00 90.00 97.08°
With the nearest neighbours (Å) after each atom.
Positions (direct):
Li: 0.3329 0.6658 0.7500  4 Zn 2.86, 8 Li 2.87-3.14
Li: 0.6671 0.3342 0.2500  4 Zn 2.86, 8 Li 2.87-3.14
Li: 0.5551 0.1102 0.3866  3 Li 2.69-2.87, 2 Ag 2.72, 2 Zn 2.88
Li: 0.4449 0.8898 0.6134  3 Li 2.69-2.87, 2 Ag 2.72, 2 Zn 2.88
Li: 0.4449 0.8898 0.8866  3 Li 2.69-2.87, 2 Ag 2.72, 2 Zn 2.88
Li: 0.5551 0.1102 0.1134  3 Li 2.69-2.87, 2 Ag 2.72, 2 Zn 2.88
Li: 0.4115 0.8230 0.3863  2 Ag 2.65, 4 Zn 2.68-2.69, 3 Li 2.69-2.87
Li: 0.5885 0.1770 0.6137  2 Ag 2.65, 4 Zn 2.68-2.69, 3 Li 2.69-2.87
Li: 0.2674 0.5348 0.3883  5 Zn 2.71-2.81, 4 Li 2.87-3.02
Li: 0.7326 0.4652 0.6117  5 Zn 2.71-2.81, 4 Li 2.87-3.02
Li: 0.7326 0.4652 0.8883  5 Zn 2.71-2.81, 4 Li 2.87-3.02
Li: 0.2674 0.5348 0.1117  5 Zn 2.71-2.81, 4 Li 2.87-3.02
Li: 0.4115 0.8230 0.1137  2 Ag 2.65, 4 Zn 2.68-2.69, 3 Li 2.69-2.87
Li: 0.5885 0.1770 0.8863  2 Ag 2.65, 4 Zn 2.68-2.69, 3 Li 2.69-2.87
Zn: 0.1556 0.3111 0.4672  9 Li 2.69-2.88, 2 Zn 2.87
Zn: 0.8444 0.6889 0.5328  9 Li 2.69-2.88, 2 Zn 2.87
Zn: 0.1599 0.3197 0.7500  8 Li 2.68-2.71, 2 Zn 2.87
Zn: 0.8401 0.6803 0.2500  8 Li 2.68-2.71, 2 Zn 2.87
Zn: 0.1556 0.3111 0.0328  9 Li 2.69-2.88, 2 Zn 2.87
Zn: 0.8444 0.6889 0.9672  9 Li 2.69-2.88, 2 Zn 2.87
Ag: 0.9812 0.9624 0.2500  8 Li 2.65-2.72, 2 Ag 2.87
Ag: 0.0188 0.0376 0.7500  8 Li 2.65-2.72, 2 Ag 2.87

=====

Copy entry 8 word for word.
Density functional theory data (GGA-PBE) for Li7Zn3Ag after structural relaxation.

Symmetry: Cmcm
Total energy, eV for the cell shown: -42.4
Energy of formation from the pure elements, eV per atom: -0.104
Crystal system: orthorhombic
Relative energy among the computed polymorphs, eV per atom: 0.000

Cell: 2.8716 11.6434 11.3283 Å, 90.00 90.00 97.08°
With the nearest neighbours (Å) after each atom.
Positions (direct):
Li: 0.3329 0.6658 0.7500  4 Zn 2.86, 8 Li 2.87-3.14
Li: 0.6671 0.3342 0.2500  4 Zn 2.86, 8 Li 2.87-3.14
Li: 0.5551 0.1102 0.3866  3 Li 2.69-2.87, 2 Ag 2.72, 2 Zn 2.88
Li: 0.4449 0.8898 0.6134  3 Li 2.69-2.87, 2 Ag 2.72, 2 Zn 2.88
Li: 0.4449 0.8898 0.8866  3 Li 2.69-2.87, 2 Ag 2.72, 2 Zn 2.88
Li: 0.5551 0.1102 0.1134  3 Li 2.69-2.87, 2 Ag 2.72, 2 Zn 2.88
Li: 0.4115 0.8230 0.3863  2 Ag 2.65, 4 Zn 2.68-2.69, 3 Li 2.69-2.87
Li: 0.5885 0.1770 0.6137  2 Ag 2.65, 4 Zn 2.68-2.69, 3 Li 2.69-2.87
Li: 0.2674 0.5348 0.3883  5 Zn 2.71-2.81, 4 Li 2.87-3.02
Li: 0.7326 0.4652 0.6117  5 Zn 2.71-2.81, 4 Li 2.87-3.02
Li: 0.7326 0.4652 0.8883  5 Zn 2.71-2.81, 4 Li 2.87-3.02
Li: 0.2674 0.5348 0.1117  5 Zn 2.71-2.81, 4 Li 2.87-3.02
Li: 0.4115 0.8230 0.1137  2 Ag 2.65, 4 Zn 2.68-2.69, 3 Li 2.69-2.87
Li: 0.5885 0.1770 0.8863  2 Ag 2.65, 4 Zn 2.68-2.69, 3 Li 2.69-2.87
Zn: 0.1556 0.3111 0.4672  9 Li 2.69-2.88, 2 Zn 2.87
Zn: 0.8444 0.6889 0.5328  9 Li 2.69-2.88, 2 Zn 2.87
Zn: 0.1599 0.3197 0.7500  8 Li 2.68-2.71, 2 Zn 2.87
Zn: 0.8401 0.6803 0.2500  8 Li 2.68-2.71, 2 Zn 2.87
Zn: 0.1556 0.3111 0.0328  9 Li 2.69-2.88, 2 Zn 2.87
Zn: 0.8444 0.6889 0.9672  9 Li 2.69-2.88, 2 Zn 2.87
Ag: 0.9812 0.9624 0.2500  8 Li 2.65-2.72, 2 Ag 2.87
Ag: 0.0188 0.0376 0.7500  8 Li 2.65-2.72, 2 Ag 2.87

=====

Which value of energy of formation from the pure elements does entry 1 give? -0.115 eV per atom